Density functional theory data (PBE) for a relaxed CdGaW4N2 crystal.

abc: 2.853 2.853 15.271
angles: 90.00 90.00 120.00
Element x y z (fractional)
W1 0.667 0.333 0.853
W2 0.000 0.000 0.664
W3 0.667 0.333 0.147
W4 0.000 0.000 0.336
Ga1 0.000 0.000 0.000
Cd1 0.667 0.333 0.500
N1 0.333 0.667 0.242
N2 0.333 0.667 0.758

* ρ: 14.6 g/cm3
* total energy: -71.14 eV for the cell shown
* symmetry: No. 187



Density functional theory data (PBE) for a relaxed ThTcBr crystal.

abc: 4.180 4.180 12.064
angles: 100.23 100.23 60.02
Element x y z (fractional)
Tc1 0.157 0.157 0.473
Tc2 0.843 0.843 0.527
Br1 0.284 0.284 0.845
Br2 0.716 0.716 0.155
Th1 0.440 0.440 0.326
Th2 0.560 0.560 0.674

* ρ: 7.6 g/cm3
* total energy: -44.01 eV for the cell shown
* symmetry: No. 12